Record 1
A plane-wave DFT calculation with PBE-GGA was carried out for an optimized crystal structure of BaGa3Ru.

a = 8.8645 Å, b = 8.8645 Å, c = 8.8645 Å
α = 141.52°, β = 141.52°, γ = 55.56°
Fractional positions:
Ba: 0.1405 0.1405 0.0000
Ba: 0.8595 0.8595 0.0000
Ga: 0.0092 0.5092 0.5000
Ga: 0.1422 0.3603 0.7818
Ga: 0.4908 0.9908 0.5000
Ga: 0.5785 0.3603 0.2182
Ga: 0.6397 0.4215 0.7818
Ga: 0.6397 0.8578 0.2182
Ru: 0.5000 0.5000 0.0000
Ru: 0.7500 0.2500 0.5000

E_form	-0.403	eV/f.u.
total moment	0.05	μB per atom
space-group type	I-4m2, No. 119
ΔE to the lowest computed polymorph	397	meV per atom

Record 2
A plane-wave DFT calculation with PBE-GGA was carried out for an optimized crystal structure of BaGaRuS2.

a = 4.7651 Å, b = 4.7651 Å, c = 5.5454 Å
α = 90.00°, β = 90.00°, γ = 90.00°
Fractional positions:
Ba: 0.0000 0.0000 0.0000
Ga: 0.0000 0.0000 0.5000
Ru: 0.5000 0.5000 0.0000
S: 0.0000 0.5000 0.5000
S: 0.5000 0.0000 0.5000

uncorrected formation energy	0.7385	eV/atom
total moment	0.53	μB per atom
space-group type	P4/mmm, No. 123

Record 3
A plane-wave DFT calculation with PBE-GGA was carried out for an optimized crystal structure of BaGa2SiRu2.

a = 4.4772 Å, b = 4.4772 Å, c = 6.2670 Å
α = 90.00°, β = 90.00°, γ = 90.00°
Fractional positions:
Ba: 0.0000 0.0000 0.0000
Ga: 0.5000 0.5000 0.2575
Ga: 0.5000 0.5000 0.7425
Si: 0.0000 0.0000 0.5000
Ru: 0.0000 0.5000 0.5000
Ru: 0.5000 0.0000 0.5000

uncorrected formation energy	-0.3432	eV/atom
total moment	0.00	μB per atom
space-group type	P4/mmm, No. 123

Record 4
A plane-wave DFT calculation with PBE-GGA was carried out for an optimized crystal structure of BaGa2SnRu.

a = 4.9020 Å, b = 4.9020 Å, c = 5.1869 Å
α = 90.00°, β = 90.00°, γ = 90.00°
Fractional positions:
Ba: 0.0000 0.0000 0.0000
Ga: 0.0000 0.5000 0.5000
Ga: 0.5000 0.0000 0.5000
Sn: 0.5000 0.5000 0.0000
Ru: 0.5000 0.5000 0.5000

E_form	-1.816	eV/f.u.
total moment	0.00	μB per atom
space-group type	P4/mmm, No. 123

Record 5
A plane-wave DFT calculation with PBE-GGA was carried out for an optimized crystal structure of BaTlGa2Ru.

a = 4.9049 Å, b = 4.9049 Å, c = 5.3039 Å
α = 90.00°, β = 90.00°, γ = 90.00°
Fractional positions:
Ba: 0.0000 0.0000 0.0000
Tl: 0.5000 0.5000 0.0000
Ga: 0.0000 0.5000 0.5000
Ga: 0.5000 0.0000 0.5000
Ru: 0.5000 0.5000 0.5000

E_form	-1.517	eV/f.u.
total moment	0.00	μB per atom
space-group type	P4/mmm, No. 123

Record 6
A plane-wave DFT calculation with PBE-GGA was carried out for an optimized crystal structure of BaV2GaRu.

a = 4.8220 Å, b = 4.8220 Å, c = 4.8301 Å
α = 90.00°, β = 90.00°, γ = 90.00°
Fractional positions:
Ba: 0.0000 0.0000 0.0000
V: 0.0000 0.5000 0.5000
V: 0.5000 0.0000 0.5000
Ga: 0.5000 0.5000 0.5000
Ru: 0.5000 0.5000 0.0000

E_form	5.599	eV/f.u.
total moment	0.05	μB per atom
space-group type	P4/mmm, No. 123

Record 7
A plane-wave DFT calculation with PBE-GGA was carried out for an optimized crystal structure of BaZnGaRu.

a = 4.7807 Å, b = 4.8603 Å, c = 4.8715 Å
α = 90.00°, β = 90.00°, γ = 90.00°
Fractional positions:
Ba: 0.0000 0.0000 0.0000
Zn: 0.5000 0.5000 0.0000
Ga: 0.0000 0.5000 0.5000
Ru: 0.5000 0.5000 0.5000

E_form	0.403	eV/f.u.
total moment	0.03	μB per atom
space-group type	Pmmm, No. 47

Record 8
A plane-wave DFT calculation with PBE-GGA was carried out for an optimized crystal structure of Ba4ZnGa12Ru3.

a = 8.4917 Å, b = 8.4917 Å, c = 8.4917 Å
α = 109.47°, β = 109.47°, γ = 109.47°
Fractional positions:
Ba: 0.0000 0.0000 0.5000
Ba: 0.0000 0.5000 0.0000
Ba: 0.5000 0.0000 0.0000
Ba: 0.5000 0.5000 0.5000
Zn: 0.0000 0.0000 0.0000
Ga: 0.0000 0.2505 0.2505
Ga: 0.0000 0.7495 0.7495
Ga: 0.2500 0.5000 0.7500
Ga: 0.2500 0.7500 0.5000
Ga: 0.2505 0.0000 0.2505
Ga: 0.2505 0.2505 0.0000
Ga: 0.5000 0.2500 0.7500
Ga: 0.5000 0.7500 0.2500
Ga: 0.7495 0.0000 0.7495
Ga: 0.7495 0.7495 0.0000
Ga: 0.7500 0.2500 0.5000
Ga: 0.7500 0.5000 0.2500
Ru: 0.0000 0.5000 0.5000
Ru: 0.5000 0.0000 0.5000
Ru: 0.5000 0.5000 0.0000

E_form	-7.023	eV/f.u.
total moment	0.00	μB per atom
space-group type	Im-3m, No. 229

Record 9
A plane-wave DFT calculation with PBE-GGA was carried out for an optimized crystal structure of BaGa2S4.

a = 6.3106 Å, b = 6.3106 Å, c = 11.1404 Å
α = 90.00°, β = 90.00°, γ = 122.35°
Fractional positions:
Ba: 0.0000 0.0000 0.2500
Ba: 0.0000 0.0000 0.7500
Ga: 0.2593 0.7389 0.0000
Ga: 0.2611 0.7407 0.5000
Ga: 0.7389 0.2593 0.5000
Ga: 0.7407 0.2611 0.0000
S: 0.0000 0.5000 0.1565
S: 0.0000 0.5000 0.8435
S: 0.1415 0.3280 0.5000
S: 0.3280 0.1415 0.0000
S: 0.5000 0.0000 0.3435
S: 0.5000 0.0000 0.6565
S: 0.6720 0.8585 0.0000
S: 0.8585 0.6720 0.5000

uncorrected formation energy	-1.1931	eV/atom
total moment	0.00	μB per atom
space-group type	Cccm, No. 66

Record 10
A plane-wave DFT calculation with PBE-GGA was carried out for an optimized crystal structure of BaGaS2.

a = 8.2035 Å, b = 8.2035 Å, c = 8.2035 Å
α = 33.99°, β = 33.99°, γ = 33.99°
Fractional positions:
Ba: 0.0000 0.0000 0.0000
Ga: 0.5000 0.5000 0.5000
S: 0.4014 0.4014 0.4014
S: 0.5986 0.5986 0.5986

uncorrected formation energy	-0.9115	eV/atom
total moment	0.21	μB per atom
space-group type	R-3m, No. 166

Record 11
A plane-wave DFT calculation with PBE-GGA was carried out for an optimized crystal structure of Ba2GaS4.

a = 7.3718 Å, b = 6.0242 Å, c = 9.2352 Å
α = 90.00°, β = 107.01°, γ = 90.00°
Fractional positions:
Ba: 0.2207 0.2500 0.4390
Ba: 0.2660 0.2500 0.9434
Ba: 0.7340 0.7500 0.0566
Ba: 0.7793 0.7500 0.5610
Ga: 0.2507 0.7500 0.1934
Ga: 0.7493 0.2500 0.8066
S: 0.0734 0.7500 0.3588
S: 0.1137 0.7500 0.9417
S: 0.4950 0.0129 0.2649
S: 0.4950 0.4871 0.2649
S: 0.5050 0.5129 0.7351
S: 0.5050 0.9871 0.7351
S: 0.8863 0.2500 0.0583
S: 0.9266 0.2500 0.6412

uncorrected formation energy	-1.4356	eV/atom
total moment	0.02	μB per atom
space-group type	P2_1/m, No. 11
ΔE to the lowest computed polymorph	79	meV per atom

Record 12
A plane-wave DFT calculation with PBE-GGA was carried out for an optimized crystal structure of BaGaS2.

a = 8.5162 Å, b = 6.3871 Å, c = 9.4003 Å
α = 90.00°, β = 118.74°, γ = 90.00°
Fractional positions:
Ba: 0.1720 0.1690 0.4490
Ba: 0.1720 0.3310 0.9490
Ba: 0.8280 0.6690 0.0510
Ba: 0.8280 0.8310 0.5510
Ga: 0.4267 0.6084 0.5722
Ga: 0.4267 0.8916 0.0722
Ga: 0.5733 0.1084 0.9278
Ga: 0.5733 0.3916 0.4278
S: 0.1251 0.6802 0.4190
S: 0.1251 0.8198 0.9190
S: 0.4169 0.0978 0.2885
S: 0.4169 0.4022 0.7885
S: 0.5831 0.5978 0.2115
S: 0.5831 0.9022 0.7115
S: 0.8749 0.1802 0.0810
S: 0.8749 0.3198 0.5810

uncorrected formation energy	-1.3061	eV/atom
total moment	0.00	μB per atom
space-group type	P2_1/c, No. 14